Record 1
This record from Alexandria via LeMat-Bulk describes Cs3SrHg2F9 after structural relaxation. The functional is PBE.

Values from the calculation:
Crystal system ... trigonal
Volume ... 315.6 Å³ per cell
Symmetry ... P-3m1, No. 164
ρ ... 5.6 g/cm³
Formation energy (no corrections) ... -2.482 eV per atom
Fermi-level density of states ... 0.0 states/eV/f.u.

Cell lengths 6.670, 6.670, 8.193 Å; angles 90.00, 90.00, 120.00 degrees
Positions (direct):
Cs  0.333  0.667  0.679
Cs  0.000  0.000  0.000
Cs  0.667  0.333  0.321
Sr  0.000  0.000  0.500
Hg  0.333  0.667  0.166
Hg  0.667  0.333  0.834
F  0.832  0.168  0.671
F  0.832  0.663  0.671
F  0.337  0.168  0.671
F  0.663  0.832  0.329
F  0.168  0.337  0.329
F  0.168  0.832  0.329
F  0.500  0.000  0.000
F  0.000  0.500  0.000
F  0.500  0.500  0.000

---

Record 2
This record from Alexandria via LeMat-Bulk describes CsSrHg2F8 after structural relaxation. The functional is PBE.

Values from the calculation:
Crystal system ... trigonal
Volume ... 280.0 Å³ per cell
Symmetry ... P-3, No. 147
ρ ... 4.6 g/cm³
Formation energy (no corrections) ... -2.026 eV per atom
Fermi-level density of states ... 20.7 states/eV/f.u.

Cell lengths 5.925, 5.925, 9.209 Å; angles 90.00, 90.00, 120.00 degrees
Last column: magnetic moment on the atom in μB.
Positions (direct):
Cs  0.000  0.000  0.000  0.00
Sr  0.000  0.000  0.500  0.00
Hg  0.667  0.333  0.235  0.11
Hg  0.333  0.667  0.765  0.11
F  0.333  0.667  0.999  0.16
F  0.306  0.294  0.322  0.10
F  0.706  0.013  0.322  0.10
F  0.667  0.333  0.001  0.16
F  0.294  0.987  0.678  0.10
F  0.694  0.706  0.678  0.10
F  0.013  0.306  0.678  0.10
F  0.987  0.694  0.322  0.10